1.
LaPtC2 | GGA-PBE | relaxed

Structure (CIF):
```
data_LaPtC2
_chemical_formula_sum 'La4 Pt4 C8'
_symmetry_space_group_name_H-M 'F m -3 m'
_symmetry_Int_Tables_number 225
_symmetry_space_group_name_Hall '-F 4 2 3'
_cell_length_a 6.112
_cell_length_b 6.112
_cell_length_c 6.112
_cell_angle_alpha 90.00
_cell_angle_beta 90.00
_cell_angle_gamma 90.00
loop_
_atom_site_label
_atom_site_type_symbol
_atom_site_fract_x
_atom_site_fract_y
_atom_site_fract_z
La1 La 0.000 0.000 0.000
Pt1 Pt 0.000 0.000 0.500
C1 C 0.250 0.250 0.250
```

Properties
The value obtained for the density is 10.41 g/cm³. The magnetization comes out at 0.00 μB/cell. The calculation puts the calculated formation energy at 1059 meV/atom.

---

2.
BeSeBr2O | GGA-PBE | relaxed

Structure (CIF):
```
data_BeSeBr2O
_chemical_formula_sum 'Be1 Se1 Br2 O1'
_symmetry_space_group_name_H-M 'P 4/m m m'
_symmetry_Int_Tables_number 123
_symmetry_space_group_name_Hall '-P 4 2'
_cell_length_a 4.729
_cell_length_b 4.729
_cell_length_c 4.592
_cell_angle_alpha 90.00
_cell_angle_beta 90.00
_cell_angle_gamma 90.00
loop_
_atom_site_label
_atom_site_type_symbol
_atom_site_fract_x
_atom_site_fract_y
_atom_site_fract_z
Be1 Be 0.000 0.000 0.000
Se1 Se 0.000 0.000 0.500
Br1 Br 0.000 0.500 0.000
O1 O 0.500 0.500 0.500
```

Properties
As for the offset from the most stable computed form: 0.0 kJ per mole of atoms. As for the energy relative to the elements, uncorrected: 0.6604 eV/atom. The value obtained for the density is 4.27 g/cm³. The magnetization comes out at 0.48 μB/cell.

---

3.
PmGeHOs | GGA-PBE | relaxed

Structure (CIF):
```
data_PmGeHOs
_chemical_formula_sum 'Pm2 Ge2 H2 Os2'
_symmetry_space_group_name_H-M 'P 4/n m m'
_symmetry_Int_Tables_number 129
_cell_length_a 4.162
_cell_length_b 4.162
_cell_length_c 7.478
_cell_angle_alpha 90.00
_cell_angle_beta 90.00
_cell_angle_gamma 90.00
loop_
_symmetry_equiv_pos_as_xyz
'x,y,z'
'-x,-y,-z'
'-y+1/2,x,z'
'y+1/2,-x,-z'
'-x+1/2,-y+1/2,z'
'x+1/2,y+1/2,-z'
'y,-x+1/2,z'
'-y,x+1/2,-z'
'x+1/2,-y,-z'
'-x+1/2,y,z'
'-y,-x,-z'
'y,x,z'
'-x,y+1/2,-z'
'x,-y+1/2,z'
'y+1/2,x+1/2,-z'
'-y+1/2,-x+1/2,z'
loop_
_atom_site_label
_atom_site_type_symbol
_atom_site_fract_x
_atom_site_fract_y
_atom_site_fract_z
Pm1 Pm 0.250 0.250 0.162
Ge1 Ge 0.250 0.250 0.684
H1 H 0.250 0.750 0.000
Os1 Os 0.250 0.750 0.500
```

Properties
The value obtained for the total DFT energy (no corrections) is -6.4953 eV/atom. The value obtained for the density is 10.48 g/cm³. The magnetization comes out at 0.00 μB/cell.

---

4.
Cd5Hg3 | GGA-PBE | relaxed

Structure (CIF):
```
data_Cd5Hg3
_chemical_formula_sum 'Cd20 Hg12'
_symmetry_space_group_name_H-M 'C 1 m 1'
_symmetry_Int_Tables_number 8
_symmetry_space_group_name_Hall 'C -2y'
_cell_length_a 5.977
_cell_length_b 15.546
_cell_length_c 8.376
_cell_angle_alpha 90.00
_cell_angle_beta 90.45
_cell_angle_gamma 90.00
loop_
_atom_site_label
_atom_site_type_symbol
_atom_site_fract_x
_atom_site_fract_y
_atom_site_fract_z
Cd1 Cd 0.000 0.000 0.000
Cd2 Cd 0.015 0.500 0.168
Cd3 Cd 0.088 0.099 0.691
Cd4 Cd 0.115 0.402 0.475
Cd5 Cd 0.166 0.292 0.770
Cd6 Cd 0.303 0.339 0.143
Hg1 Hg 0.059 0.500 0.792
Hg2 Hg 0.083 0.000 0.367
Hg3 Hg 0.190 0.208 0.404
Hg4 Hg 0.302 0.159 0.023
```

Properties
As for the offset from the most stable computed form: 0.7 kJ per mole of atoms. The value obtained for the density is 9.93 g/cm³. The magnetization comes out at 0.00 μB/cell. The calculation puts the calculated formation energy at 24 meV/atom.

---

5.
Np4MnNb3C8 | GGA-PBE | relaxed

Structure (CIF):
```
data_Np4MnNb3C8
_chemical_formula_sum 'Np12 Mn3 Nb9 C24'
_symmetry_space_group_name_H-M 'R -3 m'
_symmetry_Int_Tables_number 166
_symmetry_space_group_name_Hall '-R 3 2"'
_cell_length_a 6.4792
_cell_length_b 6.4792
_cell_length_c 16.6866
_cell_angle_alpha 90.00
_cell_angle_beta 90.00
_cell_angle_gamma 120.00
loop_
_atom_site_label
_atom_site_type_symbol
_atom_site_fract_x
_atom_site_fract_y
_atom_site_fract_z
Np1 Np 0.0000 0.0000 0.0000
Np2 Np 0.0000 0.5000 0.0000
Mn1 Mn 0.0000 0.0000 0.5000
Nb1 Nb 0.0000 0.5000 0.5000
C1 C 0.0000 0.0000 0.2428
C2 C 0.0075 0.5038 0.2416
```

Properties
The value obtained for the density is 11.31 g/cm³. The magnetization comes out at 33.80 μB/cell. The calculation puts the calculated formation energy at -122 meV/atom.

---

6.
Np2Ni3As4Pt | GGA-PBE | relaxed

Structure (CIF):
```
data_Np2Ni3As4Pt
_chemical_formula_sum 'Np2 Ni3 As4 Pt1'
_symmetry_space_group_name_H-M 'P -4 m 2'
_symmetry_Int_Tables_number 115
_symmetry_space_group_name_Hall 'P -4 -2'
_cell_length_a 4.234
_cell_length_b 4.234
_cell_length_c 9.467
_cell_angle_alpha 90.00
_cell_angle_beta 90.00
_cell_angle_gamma 90.00
loop_
_atom_site_label
_atom_site_type_symbol
_atom_site_fract_x
_atom_site_fract_y
_atom_site_fract_z
Np1 Np 0.000 0.500 0.244
Ni1 Ni 0.000 0.500 0.887
Ni2 Ni 0.500 0.500 0.500
As1 As 0.000 0.000 0.000
As2 As 0.000 0.500 0.644
As3 As 0.500 0.500 0.000
Pt1 Pt 0.000 0.000 0.500
```

Properties
The value obtained for the density is 11.20 g/cm³. The magnetization comes out at 8.02 μB/cell. The calculation puts the calculated formation energy at -496 meV/atom.

---

7.
Pm2PuFe2N6 | GGA-PBE | relaxed

Structure (CIF):
```
data_Pm2PuFe2N6
_chemical_formula_sum 'Pm6 Pu3 Fe6 N18'
_symmetry_space_group_name_H-M 'R -3 m'
_symmetry_Int_Tables_number 166
_symmetry_space_group_name_Hall '-R 3 2"'
_cell_length_a 5.6819
_cell_length_b 5.6819
_cell_length_c 16.7061
_cell_angle_alpha 90.00
_cell_angle_beta 90.00
_cell_angle_gamma 120.00
loop_
_atom_site_label
_atom_site_type_symbol
_atom_site_fract_x
_atom_site_fract_y
_atom_site_fract_z
Pm1 Pm 0.0000 0.0000 0.2107
Pu1 Pu 0.0000 0.0000 0.0000
Fe1 Fe 0.0000 0.0000 0.4084
N1 N 0.0132 0.5066 0.7584
```

Properties
As for the energy relative to the elements, uncorrected: -0.6011 eV/atom. The value obtained for the density is 7.78 g/cm³. The magnetization comes out at 23.80 μB/cell.

---

8.
La2ErPa2Co5 | GGA-PBE | relaxed

Structure (CIF):
```
data_La2ErPa2Co5
_chemical_formula_sum 'La4 Er2 Pa4 Co10'
_symmetry_space_group_name_H-M 'P 4/m b m'
_symmetry_Int_Tables_number 127
_symmetry_space_group_name_Hall '-P 4 2ab'
_cell_length_a 10.741
_cell_length_b 10.741
_cell_length_c 3.466
_cell_angle_alpha 90.00
_cell_angle_beta 90.00
_cell_angle_gamma 90.00
loop_
_atom_site_label
_atom_site_type_symbol
_atom_site_fract_x
_atom_site_fract_y
_atom_site_fract_z
La1 La 0.175 0.325 0.000
Er1 Er 0.000 0.000 0.000
Pa1 Pa 0.135 0.635 0.000
Co1 Co 0.000 0.500 0.500
Co2 Co 0.043 0.777 0.500
```

Properties
The value obtained for the density is 9.98 g/cm³. The magnetization comes out at 0.00 μB/cell. The calculation puts the calculated formation energy at -101 meV/atom.

---

> Among the records above, which one has the highest magnetization?

Np4MnNb3C8

---

What did the third record say?
PmGeHOs | GGA-PBE | relaxed

Structure (CIF):
```
data_PmGeHOs
_chemical_formula_sum 'Pm2 Ge2 H2 Os2'
_symmetry_space_group_name_H-M 'P 4/n m m'
_symmetry_Int_Tables_number 129
_cell_length_a 4.162
_cell_length_b 4.162
_cell_length_c 7.478
_cell_angle_alpha 90.00
_cell_angle_beta 90.00
_cell_angle_gamma 90.00
loop_
_symmetry_equiv_pos_as_xyz
'x,y,z'
'-x,-y,-z'
'-y+1/2,x,z'
'y+1/2,-x,-z'
'-x+1/2,-y+1/2,z'
'x+1/2,y+1/2,-z'
'y,-x+1/2,z'
'-y,x+1/2,-z'
'x+1/2,-y,-z'
'-x+1/2,y,z'
'-y,-x,-z'
'y,x,z'
'-x,y+1/2,-z'
'x,-y+1/2,z'
'y+1/2,x+1/2,-z'
'-y+1/2,-x+1/2,z'
loop_
_atom_site_label
_atom_site_type_symbol
_atom_site_fract_x
_atom_site_fract_y
_atom_site_fract_z
Pm1 Pm 0.250 0.250 0.162
Ge1 Ge 0.250 0.250 0.684
H1 H 0.250 0.750 0.000
Os1 Os 0.250 0.750 0.500
```

Properties
The value obtained for the total DFT energy (no corrections) is -6.4953 eV/atom. The value obtained for the density is 10.48 g/cm³. The magnetization comes out at 0.00 μB/cell.

---

> What is the formula in the eighth record?

La2ErPa2Co5

---

Repeat the sixth record exactly.
Np2Ni3As4Pt | GGA-PBE | relaxed

Structure (CIF):
```
data_Np2Ni3As4Pt
_chemical_formula_sum 'Np2 Ni3 As4 Pt1'
_symmetry_space_group_name_H-M 'P -4 m 2'
_symmetry_Int_Tables_number 115
_symmetry_space_group_name_Hall 'P -4 -2'
_cell_length_a 4.234
_cell_length_b 4.234
_cell_length_c 9.467
_cell_angle_alpha 90.00
_cell_angle_beta 90.00
_cell_angle_gamma 90.00
loop_
_atom_site_label
_atom_site_type_symbol
_atom_site_fract_x
_atom_site_fract_y
_atom_site_fract_z
Np1 Np 0.000 0.500 0.244
Ni1 Ni 0.000 0.500 0.887
Ni2 Ni 0.500 0.500 0.500
As1 As 0.000 0.000 0.000
As2 As 0.000 0.500 0.644
As3 As 0.500 0.500 0.000
Pt1 Pt 0.000 0.000 0.500
```

Properties
The value obtained for the density is 11.20 g/cm³. The magnetization comes out at 8.02 μB/cell. The calculation puts the calculated formation energy at -496 meV/atom.